[1]
VASP calculation (GGA-PBE) on an optimized crystal structure of GdTm3H.

Cell and atoms, written as POSCAR:
```
GdTm3H
1.0
4.9233 0.0000 0.0000
0.0000 4.9233 0.0000
0.0000 0.0000 4.9233
Tm H Gd
3 1 1
direct
0.5000 0.0000 0.0000 Tm
0.0000 0.5000 0.0000 Tm
0.0000 0.0000 0.5000 Tm
0.0000 0.0000 0.0000 H
0.5000 0.5000 0.5000 Gd
```

Fermi-level density of states	4.5	states/eV per cell
E	-6.328	eV per atom

[2]
VASP calculation (GGA-PBE) on an optimized crystal structure of KOsPt2.

Cell and atoms, written as POSCAR:
```
KOsPt2
1.0
-1.8750 -0.5353 -5.7906
3.6557 -1.1164 -4.7668
-2.6784 -1.3639 5.3196
Pt Os K
2 1 1
direct
0.7763 0.2763 0.5000 Pt
0.0086 0.0086 0.0000 Pt
0.2165 0.7165 0.5000 Os
0.4986 0.4986 0.0000 K
```

Fermi-level density of states	4.7	states/eV per cell
energy relative to the elements	0.561	eV/atom

[3]
VASP calculation (GGA-PBE) on an optimized crystal structure of Cs3Ho2MnS6.

Cell and atoms, written as POSCAR:
```
Cs3Ho2MnS6
1.0
-1.3404 -6.7323 0.1097
6.0801 2.0976 2.4011
-4.8171 2.3807 6.4258
Cs S Ho Mn
3 6 2 1
direct
0.8278 0.1722 0.5000 Cs
0.1722 0.8278 0.5000 Cs
0.5000 0.5000 0.5000 Cs
0.6413 0.9438 0.8339 S
0.2758 0.2758 0.8054 S
0.0562 0.3587 0.1661 S
0.3587 0.0562 0.1661 S
0.7242 0.7242 0.1946 S
0.9438 0.6413 0.8339 S
0.3369 0.6631 0.0000 Ho
0.6631 0.3369 0.0000 Ho
0.0000 0.0000 0.0000 Mn
```

formation energy without anion corrections	-1.42	eV per atom

[4]
VASP calculation (GGA-PBE) on an optimized crystal structure of CaCeBiN.

Cell and atoms, written as POSCAR:
```
CaCeBiN
1.0
-0.7219 1.3167 -4.4181
-2.0143 -4.1126 -0.8965
-8.2236 3.5071 2.3890
N Ce Ca Bi
2 2 2 2
direct
0.5000 0.0000 0.5962 N
0.0000 0.5000 0.4038 N
0.5000 0.0000 0.8125 Ce
0.0000 0.5000 0.1875 Ce
0.5000 0.5000 0.5000 Ca
0.0000 0.0000 0.5000 Ca
0.0000 0.5000 0.8173 Bi
0.5000 0.0000 0.1827 Bi
```

Fermi-level density of states	1.4	states/eV per cell
formation energy without anion corrections	-1.08	eV per atom

[5]
VASP calculation (GGA-PBE) on an optimized crystal structure of Al2CrS2.

Cell and atoms, written as POSCAR:
```
Al2CrS2
1.0
-1.2409 -0.4600 3.1131
3.0558 -0.9756 1.0739
2.5425 6.2554 3.7756
Cr Al S
1 2 2
direct
0.0000 0.0000 0.0000 Cr
0.2500 0.7500 0.5000 Al
0.7500 0.2500 0.5000 Al
0.4087 0.4087 0.1825 S
0.5913 0.5913 0.8175 S
```

Fermi-level density of states	5.7	states/eV per cell
formation energy without anion corrections	0.53	eV per atom

[6]
VASP calculation (GGA-PBE) on an optimized crystal structure of ThSb12Os4.

Cell and atoms, written as POSCAR:
```
ThSb12Os4
1.0
7.6711 0.0000 -2.7122
-3.8356 6.6434 -2.7122
0.0000 0.0000 8.1365
Sb Os Th
12 4 1
direct
0.1566 0.6614 0.8180 Sb
0.1566 0.3386 0.4953 Sb
0.3386 0.4953 0.1566 Sb
0.6614 0.5047 0.8434 Sb
0.4953 0.1566 0.3386 Sb
0.1820 0.8434 0.3386 Sb
0.8180 0.1566 0.6614 Sb
0.3386 0.1820 0.8434 Sb
0.5047 0.8434 0.6614 Sb
0.6614 0.8180 0.1566 Sb
0.8434 0.6614 0.5047 Sb
0.8434 0.3386 0.1820 Sb
0.5000 0.5000 0.5000 Os
0.0000 0.5000 0.0000 Os
0.0000 0.0000 0.5000 Os
0.5000 0.0000 0.0000 Os
0.0000 0.0000 0.0000 Th
```

formation energy without anion corrections	-0.17	eV per atom

[7]
VASP calculation (GGA-PBE) on an optimized crystal structure of Te6RuBr8.

Cell and atoms, written as POSCAR:
```
Te6RuBr8
1.0
-2.4062 -6.5995 16.0223
10.1349 -0.1639 1.4545
7.6200 12.1821 6.1621
Br Ru Te
32 4 24
direct
0.2205 0.7098 0.6740 Br
0.2795 0.7098 0.1740 Br
0.5255 0.3072 0.6417 Br
0.9745 0.3072 0.1417 Br
0.4745 0.6928 0.3583 Br
0.7451 0.8805 0.0336 Br
0.5311 0.9040 0.8884 Br
0.7205 0.2902 0.8260 Br
0.8021 0.7219 0.8647 Br
0.6979 0.7219 0.3647 Br
0.6142 0.5264 0.1779 Br
0.5825 0.6112 0.8181 Br
0.1142 0.4736 0.3221 Br
0.0255 0.6928 0.8583 Br
0.9689 0.9040 0.3884 Br
0.2037 0.8050 0.3823 Br
0.9175 0.6112 0.3181 Br
0.2451 0.1195 0.4664 Br
0.0825 0.3888 0.6819 Br
0.3858 0.4736 0.8221 Br
0.1979 0.2781 0.1353 Br
0.7963 0.1950 0.6177 Br
0.7037 0.1950 0.1177 Br
0.4175 0.3888 0.1819 Br
0.0311 0.0960 0.6116 Br
0.7549 0.8805 0.5336 Br
0.2963 0.8050 0.8823 Br
0.7795 0.2902 0.3260 Br
0.2549 0.1195 0.9664 Br
0.4689 0.0960 0.1116 Br
0.8858 0.5264 0.6779 Br
0.3021 0.2781 0.6353 Br
0.9244 0.0575 0.8451 Ru
0.5756 0.0575 0.3451 Ru
0.0756 0.9425 0.1549 Ru
0.4244 0.9425 0.6549 Ru
0.5757 0.9041 0.2536 Te
0.2735 0.9501 0.6667 Te
0.9418 0.3043 0.6637 Te
0.0757 0.0959 0.2464 Te
0.9211 0.2225 0.9329 Te
0.4418 0.6957 0.8363 Te
0.2265 0.9501 0.1667 Te
0.0789 0.7775 0.0671 Te
0.5789 0.2225 0.4329 Te
0.4157 0.1979 0.4706 Te
0.5582 0.3043 0.1637 Te
0.0769 0.0403 0.8655 Te
0.7265 0.0499 0.3333 Te
0.7735 0.0499 0.8333 Te
0.0843 0.1979 0.9706 Te
0.4211 0.7775 0.5671 Te
0.5769 0.9597 0.6345 Te
0.0582 0.6957 0.3363 Te
0.4231 0.0403 0.3655 Te
0.4243 0.0959 0.7464 Te
0.5843 0.8021 0.5294 Te
0.9243 0.9041 0.7536 Te
0.9157 0.8021 0.0294 Te
0.9231 0.9597 0.1345 Te
```

formation energy without anion corrections	-0.32	eV per atom

[8]
VASP calculation (GGA-PBE) on an optimized crystal structure of LiTm8Pb6.

Cell and atoms, written as POSCAR:
```
LiTm8Pb6
1.0
-5.4295 -7.0405 1.8330
-3.9403 -4.5781 -6.7766
1.8986 -7.8128 -1.9061
Tm Pb Li
8 6 1
direct
0.2143 0.8980 0.2972 Tm
0.3328 0.3328 0.0016 Tm
0.5905 0.2143 0.2972 Tm
0.1020 0.4095 0.7028 Tm
0.7857 0.1020 0.7028 Tm
0.8980 0.5905 0.2972 Tm
0.6672 0.6672 0.9984 Tm
0.4095 0.7857 0.7028 Tm
0.2740 0.5794 0.2173 Pb
0.7260 0.4206 0.7827 Pb
0.4206 0.0706 0.7827 Pb
0.0706 0.7260 0.7827 Pb
0.9294 0.2740 0.2173 Pb
0.5794 0.9294 0.2173 Pb
0.0000 0.0000 0.0000 Li
```

Fermi-level density of states	7.0	states/eV per cell
energy relative to the elements	-0.297	eV/atom

[9]
VASP calculation (GGA-PBE) on an optimized crystal structure of ZrInAu2O.

Cell and atoms, written as POSCAR:
```
ZrInAu2O
1.0
5.2812 0.0000 0.0000
0.0000 3.8917 0.0000
0.0000 0.0000 5.2812
O Zr In Au
1 1 1 2
direct
0.0000 0.5000 0.0000 O
0.5000 0.5000 0.5000 Zr
0.0000 0.0000 0.0000 In
0.5000 0.0000 0.0000 Au
0.0000 0.0000 0.5000 Au
```

Fermi-level density of states	2.8	states/eV per cell
formation energy without anion corrections	0.09	eV per atom

[10]
VASP calculation (GGA-PBE) on an optimized crystal structure of SrRuSe2N.

Cell and atoms, written as POSCAR:
```
SrRuSe2N
1.0
-1.0758 -0.0040 5.1672
-1.8435 -4.9304 -0.3876
3.4069 -1.3296 0.7083
Sr Ru N Se
1 1 1 2
direct
0.5000 0.5000 0.5000 Sr
0.0000 0.0000 0.0000 Ru
0.0000 0.0000 0.5000 N
0.5000 0.0000 0.0000 Se
0.0000 0.5000 0.0000 Se
```

Fermi-level density of states	6.2	states/eV per cell
formation energy without anion corrections	-0.47	eV per atom

[11]
VASP calculation (GGA-PBE) on an optimized crystal structure of Pr12Tl5Au3.

Cell and atoms, written as POSCAR:
```
Pr12Tl5Au3
1.0
15.7707 0.0000 0.0000
-5.2569 14.8687 0.0000
-5.2569 -7.4344 12.8767
Pr Au Tl
48 12 20
direct
0.0930 0.9293 0.3624 Pr
0.9330 0.5707 0.1637 Pr
0.5707 0.9330 0.6637 Pr
0.1637 0.0707 0.9330 Pr
0.5930 0.8624 0.4293 Pr
0.3363 0.5670 0.4293 Pr
0.7694 0.3363 0.9070 Pr
0.3624 0.9330 0.7694 Pr
0.1637 0.0930 0.7306 Pr
0.7306 0.1376 0.0670 Pr
0.4070 0.1376 0.5707 Pr
0.5930 0.7306 0.6637 Pr
0.6376 0.0670 0.2306 Pr
0.0707 0.9070 0.1376 Pr
0.5670 0.2306 0.1376 Pr
0.6376 0.5707 0.9070 Pr
0.2694 0.8624 0.9330 Pr
0.4293 0.0670 0.3363 Pr
0.6637 0.2306 0.5930 Pr
0.0670 0.4293 0.8363 Pr
0.9070 0.0707 0.6376 Pr
0.9070 0.8363 0.7694 Pr
0.1376 0.7306 0.5670 Pr
0.4330 0.6637 0.0707 Pr
0.2694 0.4070 0.8363 Pr
0.7306 0.5930 0.1637 Pr
0.4293 0.3624 0.5930 Pr
0.8363 0.9293 0.0670 Pr
0.2306 0.5670 0.6376 Pr
0.4330 0.7694 0.8624 Pr
0.9293 0.0930 0.8624 Pr
0.5670 0.3363 0.9293 Pr
0.6637 0.4330 0.5707 Pr
0.2306 0.6637 0.0930 Pr
0.0707 0.1637 0.4330 Pr
0.0930 0.1637 0.2306 Pr
0.7694 0.4330 0.3624 Pr
0.9293 0.8363 0.5670 Pr
0.3624 0.4293 0.0930 Pr
0.3363 0.7694 0.4070 Pr
0.5707 0.6376 0.4070 Pr
0.4070 0.2694 0.3363 Pr
0.0670 0.6376 0.7306 Pr
0.8363 0.9070 0.2694 Pr
0.9330 0.3624 0.2694 Pr
0.8624 0.2694 0.4330 Pr
0.8624 0.5930 0.9293 Pr
0.1376 0.4070 0.0707 Pr
0.3750 0.6250 0.2500 Au
0.8750 0.7500 0.1250 Au
0.1250 0.8750 0.7500 Au
0.7500 0.8750 0.6250 Au
0.6250 0.3750 0.7500 Au
0.2500 0.6250 0.8750 Au
0.6250 0.2500 0.3750 Au
0.8750 0.1250 0.2500 Au
0.2500 0.1250 0.3750 Au
0.1250 0.2500 0.8750 Au
0.7500 0.3750 0.1250 Au
0.3750 0.7500 0.6250 Au
0.5000 0.5000 0.0000 Tl
0.5000 0.0000 0.5000 Tl
0.0000 0.5000 0.0000 Tl
0.0000 0.0000 0.5000 Tl
0.5000 0.0000 0.0000 Tl
0.1250 0.3750 0.2500 Tl
0.8750 0.6250 0.7500 Tl
0.1250 0.7500 0.3750 Tl
0.2500 0.3750 0.6250 Tl
0.7500 0.1250 0.8750 Tl
0.0000 0.5000 0.5000 Tl
0.7500 0.6250 0.3750 Tl
0.8750 0.2500 0.6250 Tl
0.6250 0.8750 0.2500 Tl
0.3750 0.2500 0.1250 Tl
0.2500 0.8750 0.1250 Tl
0.5000 0.5000 0.5000 Tl
0.3750 0.1250 0.7500 Tl
0.0000 0.0000 0.0000 Tl
0.6250 0.7500 0.8750 Tl
```

Fermi-level density of states	103.8	states/eV per cell
energy relative to the elements	0.065	eV/atom

[12]
VASP calculation (GGA-PBE) on an optimized crystal structure of Zr2MnBe.

Cell and atoms, written as POSCAR:
```
Zr2MnBe
1.0
7.7932 -0.0040 -0.0024
7.1226 3.1627 -0.0024
7.1226 1.5084 2.7799
Zr Mn Be
2 1 1
direct
0.0010 0.0010 0.0010 Zr
0.4990 0.4990 0.4990 Zr
0.7500 0.7500 0.7500 Mn
0.2500 0.2500 0.2500 Be
```

Fermi-level density of states	3.3	states/eV per cell
energy relative to the elements	0.272	eV/atom

[13]
VASP calculation (GGA-PBE) on an optimized crystal structure of Rb2TlCd2.

Cell and atoms, written as POSCAR:
```
Rb2TlCd2
1.0
-0.6913 -6.5354 -3.3958
6.2616 1.9699 2.9914
-4.3149 -3.3250 7.2775
Rb Tl Cd
4 2 4
direct
0.7785 0.2929 0.6371 Rb
0.5144 0.2929 0.1371 Rb
0.4856 0.7071 0.8629 Rb
0.2215 0.7071 0.3629 Rb
0.1036 0.0000 0.7500 Tl
0.8964 0.0000 0.2500 Tl
0.7192 0.7251 0.4979 Cd
0.0059 0.7251 0.9979 Cd
0.9941 0.2749 0.0021 Cd
0.2808 0.2749 0.5021 Cd
```

Fermi-level density of states	5.7	states/eV per cell
energy relative to the elements	-0.060	eV/atom

[14]
VASP calculation (GGA-PBE) on an optimized crystal structure of NaAc2Sn3Rh4.

Cell and atoms, written as POSCAR:
```
NaAc2Sn3Rh4
1.0
4.4429 0.0000 0.0000
0.0000 4.4429 0.0000
0.0000 0.0000 11.5950
Rh Ac Na Sn
4 2 1 3
direct
0.5000 0.0000 0.6483 Rh
0.5000 0.5000 0.0000 Rh
0.0000 0.5000 0.3517 Rh
0.0000 0.0000 0.0000 Rh
0.0000 0.5000 0.7486 Ac
0.5000 0.0000 0.2514 Ac
0.5000 0.5000 0.5000 Na
0.5000 0.0000 0.8775 Sn
0.0000 0.5000 0.1225 Sn
0.0000 0.0000 0.5000 Sn
```

Fermi-level density of states	6.3	states/eV per cell
energy relative to the elements	-0.604	eV/atom

[15]
VASP calculation (GGA-PBE) on an optimized crystal structure of BiI2Cl.

Cell and atoms, written as POSCAR:
```
BiI2Cl
1.0
-2.4971 3.0878 3.8136
-2.5960 4.6269 -1.4717
-5.4974 0.2470 0.1748
I Cl Bi
2 1 1
direct
0.2500 0.2500 0.2500 I
0.7500 0.7500 0.7500 I
0.0000 0.0000 0.0000 Cl
0.5000 0.5000 0.5000 Bi
```

Fermi-level density of states	0.0	states/eV per cell
formation energy without anion corrections	-0.16	eV per atom

[16]
VASP calculation (GGA-PBE) on an optimized crystal structure of FeCuAu2.

Cell and atoms, written as POSCAR:
```
FeCuAu2
1.0
2.8372 0.0064 0.0000
-0.0068 2.8372 0.0000
0.0000 0.0000 7.5546
Fe Au Cu
1 2 1
direct
0.5000 0.5000 0.7500 Fe
0.0000 0.0000 0.4987 Au
0.0000 0.0000 0.0013 Au
0.5000 0.5000 0.2500 Cu
```

Fermi-level density of states	2.9	states/eV per cell
energy relative to the elements	0.067	eV/atom

[17]
VASP calculation (GGA-PBE) on an optimized crystal structure of SbAs2Pb.

Cell and atoms, written as POSCAR:
```
SbAs2Pb
1.0
5.9270 -0.0130 0.0179
2.2558 5.4809 -0.0179
-3.4760 -3.6549 3.1127
Sb Pb As
1 1 2
direct
0.7500 0.2500 0.5000 Sb
0.2500 0.7500 0.5000 Pb
0.5339 0.5339 0.0000 As
0.9661 0.9661 0.0000 As
```

Fermi-level density of states	2.1	states/eV per cell
formation energy without anion corrections	0.27	eV per atom

[18]
VASP calculation (GGA-PBE) on an optimized crystal structure of TlTeCl2.

Cell and atoms, written as POSCAR:
```
TlTeCl2
1.0
6.2060 0.0000 0.0000
0.0000 4.5696 0.0645
0.0000 2.8622 4.8866
Te Cl Tl
1 2 1
direct
0.0000 0.6058 0.6062 Te
0.5000 0.3509 0.2080 Cl
0.0000 0.9189 0.1047 Cl
0.5000 0.6243 0.5812 Tl
```

Fermi-level density of states	0.9	states/eV per cell
formation energy without anion corrections	-0.44	eV per atom

[19]
VASP calculation (GGA-PBE) on an optimized crystal structure of CaLaIn2.

Cell and atoms, written as POSCAR:
```
CaLaIn2
1.0
3.9189 0.0000 0.0000
0.0000 3.8132 0.0000
0.0000 0.0000 7.9641
La In Ca
1 2 1
direct
0.5000 0.5000 0.2500 La
0.0000 0.0000 0.5125 In
0.0000 0.0000 0.9875 In
0.5000 0.5000 0.7500 Ca
```

Fermi-level density of states	3.1	states/eV per cell
energy relative to the elements	-0.494	eV/atom